[1]
Rb2LiErF6 | PBE | optimized geometry

Cell and atoms, written as extended XYZ:
```
10
Lattice="-2.938 2.938 4.177 2.938 -2.938 4.177 2.938 2.938 -4.177" Properties=species:S:1:pos:R:3 pbc="T T T"
Rb 2.938 0.000 2.088
Rb 0.000 2.938 2.088
Li 0.000 0.000 0.000
Er 0.000 0.000 4.177
F 1.488 1.371 0.000
F 0.000 0.000 2.041
F 1.567 -1.451 4.177
F 1.371 4.389 0.000
F 0.000 0.000 6.312
F 1.451 1.567 4.177
```

Summary:
Final energy (eV/atom): -5.2974
Space group: I4/m (87)
Total magnetic moment (μB/atom): 0.0000

=====

[2]
NaAsOsO | PBE | optimized geometry

Cell and atoms, written as extended XYZ:
```
8
Lattice="3.891 0.000 0.000 0.000 3.891 0.000 0.000 0.000 8.856" Properties=species:S:1:pos:R:3 pbc="T T T"
Na 0.973 0.973 1.120
Na 2.918 2.918 7.736
As 0.973 0.973 6.013
As 2.918 2.918 2.842
Os 0.973 2.918 4.428
Os 2.918 0.973 4.428
O 0.973 2.918 0.000
O 2.918 0.973 0.000
```

Summary:
Energy above the lowest structure with this stoichiometry (meV per atom): 428
Space group: P4/nmm (129)
Total magnetic moment (μB/atom): 0.0008

=====

[3]
Dy2Y2ErTm2Ni2Te2 | PBE | optimized geometry

Cell and atoms, written as extended XYZ:
```
11
Lattice="-1.917 7.764 4.760 1.917 -7.764 4.760 1.917 7.764 -4.760" Properties=species:S:1:pos:R:3 pbc="T T T"
Dy 0.000 2.286 0.000
Dy 0.000 13.243 0.000
Y 0.000 5.722 1.402
Y 0.000 9.807 1.402
Er 1.917 0.000 2.188
Tm 1.917 4.895 -1.439
Tm 0.000 2.869 3.321
Ni 1.917 3.680 1.511
Ni 0.000 4.085 6.271
Te 0.000 0.000 4.685
Te 0.000 7.764 3.758
```

Summary:
Energy above the lowest structure with this stoichiometry (meV per atom): 1
Space group: Imm2 (44)
Total magnetic moment (μB/atom): 0.0009

=====

[4]
NaHgF4 | PBE | optimized geometry

Cell and atoms, written as extended XYZ:
```
12
Lattice="5.418 0.000 0.000 0.000 5.080 0.000 0.000 0.000 6.198" Properties=species:S:1:pos:R:3 pbc="T T T"
Na 0.000 0.000 0.000
Na 0.000 2.540 3.099
Hg 2.709 0.000 1.984
Hg 2.709 2.540 5.083
F 0.985 1.131 1.756
F 0.985 1.409 4.855
F 1.764 3.788 0.437
F 1.764 3.832 3.536
F 3.654 1.248 3.536
F 3.654 1.292 0.437
F 4.432 3.671 4.855
F 4.432 3.949 1.756
```

Summary:
Final energy (eV/atom): -3.1624
Space group: Pnc2 (30)